(1)
Density functional theory data (PBE) for a geometry-optimized ScPAuS2 structure.

a = 4.8261 Å, b = 4.8261 Å, c = 5.0813 Å
α = 90.00°, β = 90.00°, γ = 90.00°
Closest atoms and distances in Å follow each position.
Space group P4/mmm (No. 123)
Symmetry-distinct sites (fractional):
Sc1 0.0000 0.0000 0.0000 (multiplicity 1)  4 S 2.41, 2 P 2.54
P1 0.0000 0.0000 0.5000 (multiplicity 1)  2 Sc 2.54
Au1 0.5000 0.5000 0.5000 (multiplicity 1)  4 P 3.41, 8 S 3.50
S1 0.0000 0.5000 0.0000 (multiplicity 2)  2 Sc 2.41

Output
* energy relative to the lowest polymorph listed for this composition: 0 meV per atom
* energy relative to the elements, uncorrected: 0.225 eV per atom

(2)
Density functional theory data (PBE) for a geometry-optimized PAuSeS2 structure.

a = 4.8167 Å, b = 4.8167 Å, c = 4.8926 Å
α = 90.00°, β = 90.00°, γ = 90.00°
Closest atoms and distances in Å follow each position.
Space group P4/mmm (No. 123)
Symmetry-distinct sites (fractional):
P1 0.0000 0.0000 0.0000 (multiplicity 1)  4 Au 3.41, 8 S 3.43
Au1 0.5000 0.5000 0.0000 (multiplicity 1)  2 Se 2.45
Se1 0.5000 0.5000 0.5000 (multiplicity 1)  4 S 2.41, 2 Au 2.45
S1 0.0000 0.5000 0.5000 (multiplicity 2)  2 Se 2.41

Output
* energy relative to the lowest polymorph listed for this composition: 38 meV per atom
* energy relative to the elements, uncorrected: 1.098 eV per atom

(3)
Density functional theory data (PBE) for a geometry-optimized PAuSeS2 structure.

a = 4.8574 Å, b = 4.8574 Å, c = 4.7273 Å
α = 90.00°, β = 90.00°, γ = 90.00°
Closest atoms and distances in Å follow each position.
Space group P4/mmm (No. 123)
Symmetry-distinct sites (fractional):
P1 0.0000 0.0000 0.0000 (multiplicity 1)  2 Au 2.36
Au1 0.0000 0.0000 0.5000 (multiplicity 1)  2 P 2.36, 4 S 2.43
Se1 0.5000 0.5000 0.0000 (multiplicity 1)  8 S 3.39, 4 P 3.43
S1 0.0000 0.5000 0.5000 (multiplicity 2)  2 Au 2.43

Output
* energy relative to the lowest polymorph listed for this composition: 0 meV per atom
* energy relative to the elements, uncorrected: 1.060 eV per atom

(4)
Density functional theory data (PBE) for a geometry-optimized SiPAuS2 structure.

a = 4.4212 Å, b = 4.4212 Å, c = 4.7128 Å
α = 90.00°, β = 90.00°, γ = 90.00°
Closest atoms and distances in Å follow each position.
Space group P4/mmm (No. 123)
Symmetry-distinct sites (fractional):
Si1 0.0000 0.0000 0.0000 (multiplicity 1)  4 S 2.21, 2 P 2.36
P1 0.0000 0.0000 0.5000 (multiplicity 1)  2 Si 2.36
Au1 0.5000 0.5000 0.5000 (multiplicity 1)  4 P 3.13, 8 S 3.23
S1 0.0000 0.5000 0.0000 (multiplicity 2)  2 Si 2.21

Output
* energy relative to the lowest polymorph listed for this composition: 0 meV per atom
* energy relative to the elements, uncorrected: 0.637 eV per atom

(5)
Density functional theory data (PBE) for a geometry-optimized SiP2AuS structure.

a = 4.5612 Å, b = 4.5612 Å, c = 4.3907 Å
α = 90.00°, β = 90.00°, γ = 90.00°
Closest atoms and distances in Å follow each position.
Space group P4/mmm (No. 123)
Symmetry-distinct sites (fractional):
Si1 0.0000 0.0000 0.0000 (multiplicity 1)  2 S 2.20, 4 P 2.28
P1 0.0000 0.5000 0.0000 (multiplicity 2)  2 Si 2.28
Au1 0.5000 0.5000 0.5000 (multiplicity 1)  8 P 3.17, 4 S 3.23
S1 0.0000 0.0000 0.5000 (multiplicity 1)  2 Si 2.20

Output
* energy relative to the lowest polymorph listed for this composition: 0 meV per atom
* energy relative to the elements, uncorrected: 0.745 eV per atom

(6)
Density functional theory data (PBE) for a geometry-optimized Sm6P2AuS3 structure.

a = 17.8231 Å, b = 4.0657 Å, c = 8.2298 Å
α = 90.00°, β = 103.26°, γ = 90.00°
Closest atoms and distances in Å follow each position.
Space group C2/m (No. 12)
Symmetry-distinct sites (fractional):
Sm1 0.0013 0.0000 0.2632 (multiplicity 4)  3 S 2.82-2.92, 1 P 2.87, 2 Au 2.97
Sm2 0.1690 0.5000 0.5794 (multiplicity 4)  3 P 2.85-2.86, 3 S 2.92-2.93
Sm3 0.1720 0.5000 0.0924 (multiplicity 4)  3 S 2.80-2.93, 2 P 2.86, 1 Au 2.98
P1 0.1665 0.0000 0.3340 (multiplicity 4)  6 Sm 2.85-2.87
Au1 0.0000 0.5000 0.0000 (multiplicity 2)  6 Sm 2.97-2.98
S1 0.0000 0.5000 0.5000 (multiplicity 2)  6 Sm 2.82-2.93
S2 0.1668 0.0000 0.8334 (multiplicity 4)  6 Sm 2.80-2.93

Output
* energy relative to the elements, uncorrected: -1.678 eV per atom

(7)
Density functional theory data (PBE) for a geometry-optimized SnP2AuS structure.

a = 4.7987 Å, b = 4.7987 Å, c = 5.0816 Å
α = 90.00°, β = 90.00°, γ = 90.00°
Closest atoms and distances in Å follow each position.
Space group P4/mmm (No. 123)
Symmetry-distinct sites (fractional):
Sn1 0.0000 0.0000 0.0000 (multiplicity 1)  4 S 3.39, 8 P 3.49
P1 0.0000 0.5000 0.5000 (multiplicity 2)  2 Au 2.40
Au1 0.5000 0.5000 0.5000 (multiplicity 1)  4 P 2.40, 2 S 2.54
S1 0.5000 0.5000 0.0000 (multiplicity 1)  2 Au 2.54

Output
* energy relative to the lowest polymorph listed for this composition: 0 meV per atom
* energy relative to the elements, uncorrected: 0.773 eV per atom

(8)
Density functional theory data (PBE) for a geometry-optimized SnPAuS2 structure.

a = 5.0226 Å, b = 5.0226 Å, c = 4.6237 Å
α = 90.00°, β = 90.00°, γ = 90.00°
Closest atoms and distances in Å follow each position.
Space group P4/mmm (No. 123)
Symmetry-distinct sites (fractional):
Sn1 0.0000 0.0000 0.0000 (multiplicity 1)  8 S 3.41, 4 P 3.55
P1 0.5000 0.5000 0.0000 (multiplicity 1)  2 Au 2.31
Au1 0.5000 0.5000 0.5000 (multiplicity 1)  2 P 2.31, 4 S 2.51
S1 0.0000 0.5000 0.5000 (multiplicity 2)  2 Au 2.51

Output
* energy relative to the lowest polymorph listed for this composition: 0 meV per atom
* energy relative to the elements, uncorrected: 0.571 eV per atom

(9)
Density functional theory data (PBE) for a geometry-optimized SnPAuS2 structure.

a = 4.9510 Å, b = 4.9510 Å, c = 5.1596 Å
α = 90.00°, β = 90.00°, γ = 90.00°
Closest atoms and distances in Å follow each position.
Space group P4/mmm (No. 123)
Symmetry-distinct sites (fractional):
Sn1 0.0000 0.0000 0.0000 (multiplicity 1)  4 S 2.48, 2 P 2.58
P1 0.0000 0.0000 0.5000 (multiplicity 1)  2 Sn 2.58
Au1 0.5000 0.5000 0.5000 (multiplicity 1)  4 P 3.50, 8 S 3.58
S1 0.0000 0.5000 0.0000 (multiplicity 2)  2 Sn 2.48

Output
* energy relative to the lowest polymorph listed for this composition: 381 meV per atom
* energy relative to the elements, uncorrected: 0.952 eV per atom

(10)
Density functional theory data (PBE) for a geometry-optimized SrPAuS2 structure.

a = 5.1212 Å, b = 5.1212 Å, c = 4.6308 Å
α = 90.00°, β = 90.00°, γ = 90.00°
Closest atoms and distances in Å follow each position.
Space group P4/mmm (No. 123)
Symmetry-distinct sites (fractional):
Sr1 0.0000 0.0000 0.0000 (multiplicity 1)  8 S 3.45, 4 P 3.62
P1 0.5000 0.5000 0.0000 (multiplicity 1)  2 Au 2.32
Au1 0.5000 0.5000 0.5000 (multiplicity 1)  2 P 2.32, 4 S 2.56
S1 0.0000 0.5000 0.5000 (multiplicity 2)  2 Au 2.56

Output
* energy relative to the lowest polymorph listed for this composition: 0 meV per atom
* energy relative to the elements, uncorrected: -0.227 eV per atom

(11)
Density functional theory data (PBE) for a geometry-optimized SrPAu2S4 structure.

a = 6.2005 Å, b = 7.6264 Å, c = 8.2392 Å
α = 90.00°, β = 90.00°, γ = 90.00°
Closest atoms and distances in Å follow each position.
Space group I222 (No. 23)
Symmetry-distinct sites (fractional):
Sr1 0.0000 0.0000 0.0000 (multiplicity 2)  4 S 3.04
P1 0.0000 0.5000 0.0000 (multiplicity 2)  4 S 2.23
Au1 0.0000 0.1956 0.5000 (multiplicity 4)  2 S 2.35
S1 0.1890 0.3232 0.8386 (multiplicity 8)  1 P 2.23, 1 Au 2.35

Output
* energy relative to the elements, uncorrected: -0.485 eV per atom

(12)
Density functional theory data (PBE) for a geometry-optimized SrP2AuS structure.

a = 5.5897 Å, b = 5.5897 Å, c = 5.3895 Å
α = 90.00°, β = 90.00°, γ = 90.00°
Closest atoms and distances in Å follow each position.
Space group P4/mmm (No. 123)
Symmetry-distinct sites (fractional):
Sr1 0.0000 0.0000 0.0000 (multiplicity 1)  2 S 2.69, 4 P 2.79
P1 0.0000 0.5000 0.0000 (multiplicity 2)  2 Sr 2.79
Au1 0.5000 0.5000 0.5000 (multiplicity 1)  8 P 3.88, 4 S 3.95
S1 0.0000 0.0000 0.5000 (multiplicity 1)  2 Sr 2.69

Output
* energy relative to the lowest polymorph listed for this composition: 1238 meV per atom
* energy relative to the elements, uncorrected: 1.280 eV per atom

The lowest energy relative to the elements, uncorrected belongs to which entry? Sm6P2AuS3

The lowest energy relative to the elements, uncorrected belongs to which entry? Sm6P2AuS3